w:
# CePaPd6 (PBE, optimized geometry)
# size of the total moment	1.19	μB per formula unit
# N(E_F)	1.2289	states/eV per atom
data_CePaPd6
_chemical_formula_sum 'Ce1 Pa1 Pd6'
_cell_length_a 4.167
_cell_length_b 4.167
_cell_length_c 8.344
_cell_angle_alpha 90.00
_cell_angle_beta 90.00
_cell_angle_gamma 90.00
_space_group_name_H-M_alt 'P 4/m m m'
_space_group_IT_number 123
_space_group_name_Hall '-P 4 2'
loop_
_atom_site_label
_atom_site_type_symbol
_atom_site_fract_x
_atom_site_fract_y
_atom_site_fract_z
Ce1 Ce 0.000 0.000 0.000
Pa1 Pa 0.000 0.000 0.500
Pd1 Pd 0.000 0.500 0.257
Pd2 Pd 0.500 0.500 0.000
Pd3 Pd 0.500 0.500 0.500



x:
# CePaPd6 (PBE, optimized geometry)
# size of the total moment	0.92	μB per formula unit
# N(E_F)	1.1459	states/eV per atom
data_CePaPd6
_chemical_formula_sum 'Ce3 Pa3 Pd18'
_cell_length_a 7.0695
_cell_length_b 7.0695
_cell_length_c 11.6668
_cell_angle_alpha 90.00
_cell_angle_beta 90.00
_cell_angle_gamma 120.00
_space_group_name_H-M_alt 'R -3 m'
_space_group_IT_number 166
_space_group_name_Hall '-R 3 2"'
loop_
_atom_site_label
_atom_site_type_symbol
_atom_site_fract_x
_atom_site_fract_y
_atom_site_fract_z
Ce1 Ce 0.0000 0.0000 0.0000
Pa1 Pa 0.0000 0.0000 0.5000
Pd1 Pd 0.0792 0.5396 0.8913



Most stable: w



w:
# CePmPa (PBE, optimized geometry)
# size of the total moment	0.15	μB per formula unit
# N(E_F)	2.1970	states/eV per atom
data_CePmPa
_chemical_formula_sum 'Ce2 Pm2 Pa2'
_cell_length_a 3.289
_cell_length_b 3.289
_cell_length_c 15.729
_cell_angle_alpha 90.00
_cell_angle_beta 90.00
_cell_angle_gamma 90.00
_space_group_name_H-M_alt 'I 4 m m'
_space_group_IT_number 107
_space_group_name_Hall 'I 4 -2'
loop_
_atom_site_label
_atom_site_type_symbol
_atom_site_fract_x
_atom_site_fract_y
_atom_site_fract_z
Ce1 Ce 0.000 0.000 0.000
Pm1 Pm 0.000 0.000 0.312
Pa1 Pa 0.000 0.000 0.651



x:
# CePmPa (PBE, optimized geometry)
# size of the total moment	0.00	μB per formula unit
# N(E_F)	2.5897	states/eV per atom
data_CePmPa
_chemical_formula_sum 'Ce4 Pm4 Pa4'
_cell_length_a 6.355
_cell_length_b 8.593
_cell_length_c 6.394
_cell_angle_alpha 90.00
_cell_angle_beta 90.00
_cell_angle_gamma 90.00
_space_group_name_H-M_alt 'P b c m'
_space_group_IT_number 57
_space_group_name_Hall '-P 2c 2b'
loop_
_atom_site_label
_atom_site_type_symbol
_atom_site_fract_x
_atom_site_fract_y
_atom_site_fract_z
Ce1 Ce 0.176 0.250 0.000
Pm1 Pm 0.380 0.594 0.250
Pa1 Pa 0.100 0.584 0.750



y:
# CePmPa (PBE, optimized geometry)
# size of the total moment	0.01	μB per formula unit
# N(E_F)	3.0325	states/eV per atom
data_CePmPa
_chemical_formula_sum 'Ce1 Pm1 Pa1'
_cell_length_a 5.4201
_cell_length_b 5.4201
_cell_length_c 3.3019
_cell_angle_alpha 90.00
_cell_angle_beta 90.00
_cell_angle_gamma 120.00
_space_group_name_H-M_alt 'P -6 m 2'
_space_group_IT_number 187
_space_group_name_Hall 'P -6 2'
loop_
_atom_site_label
_atom_site_type_symbol
_atom_site_fract_x
_atom_site_fract_y
_atom_site_fract_z
Ce1 Ce 0.0000 0.0000 0.0000
Pm1 Pm 0.3333 0.6667 0.5000
Pa1 Pa 0.6667 0.3333 0.0000



Most stable: w



w:
# Ce2PaPt (PBE, optimized geometry)
# size of the total moment	0.00	μB per formula unit
# N(E_F)	1.8605	states/eV per atom
data_Ce2PaPt
_chemical_formula_sum 'Ce6 Pa3 Pt3'
_cell_length_a 3.0787
_cell_length_b 3.0787
_cell_length_c 32.6502
_cell_angle_alpha 90.00
_cell_angle_beta 90.00
_cell_angle_gamma 120.00
_space_group_name_H-M_alt 'R -3 m'
_space_group_IT_number 166
_space_group_name_Hall '-R 3 2"'
loop_
_atom_site_label
_atom_site_type_symbol
_atom_site_fract_x
_atom_site_fract_y
_atom_site_fract_z
Ce1 Ce 0.0000 0.0000 0.0909
Pa1 Pa 0.0000 0.0000 0.0000
Pt1 Pt 0.0000 0.0000 0.5000



x:
# Ce2PaPt (PBE, optimized geometry)
# size of the total moment	0.60	μB per formula unit
# N(E_F)	2.2601	states/eV per atom
data_Ce2PaPt
_chemical_formula_sum 'Ce2 Pa1 Pt1'
_cell_length_a 3.565
_cell_length_b 3.565
_cell_length_c 7.601
_cell_angle_alpha 90.00
_cell_angle_beta 90.00
_cell_angle_gamma 90.00
_space_group_name_H-M_alt 'P 4/m m m'
_space_group_IT_number 123
_space_group_name_Hall '-P 4 2'
loop_
_atom_site_label
_atom_site_type_symbol
_atom_site_fract_x
_atom_site_fract_y
_atom_site_fract_z
Ce1 Ce 0.000 0.000 0.226
Pa1 Pa 0.500 0.500 0.500
Pt1 Pt 0.500 0.500 0.000



Most stable: x



w:
# CePu2Pa (PBE, optimized geometry)
# size of the total moment	9.79	μB per formula unit
# N(E_F)	3.2240	states/eV per atom
data_CePu2Pa
_chemical_formula_sum 'Ce1 Pu2 Pa1'
_cell_length_a 3.305
_cell_length_b 3.305
_cell_length_c 9.120
_cell_angle_alpha 90.00
_cell_angle_beta 90.00
_cell_angle_gamma 90.00
_space_group_name_H-M_alt 'P 4/m m m'
_space_group_IT_number 123
_space_group_name_Hall '-P 4 2'
loop_
_atom_site_label
_atom_site_type_symbol
_atom_site_fract_x
_atom_site_fract_y
_atom_site_fract_z
Ce1 Ce 0.000 0.000 0.000
Pu1 Pu 0.500 0.500 0.266
Pa1 Pa 0.000 0.000 0.500



x:
# CePu2Pa (PBE, optimized geometry)
# size of the total moment	11.77	μB per formula unit
# N(E_F)	3.7982	states/eV per atom
data_CePu2Pa
_chemical_formula_sum 'Ce4 Pu8 Pa4'
_cell_length_a 7.340
_cell_length_b 7.340
_cell_length_c 7.340
_cell_angle_alpha 90.00
_cell_angle_beta 90.00
_cell_angle_gamma 90.00
_space_group_name_H-M_alt 'F m -3 m'
_space_group_IT_number 225
_space_group_name_Hall '-F 4 2 3'
loop_
_atom_site_label
_atom_site_type_symbol
_atom_site_fract_x
_atom_site_fract_y
_atom_site_fract_z
Ce1 Ce 0.000 0.000 0.000
Pu1 Pu 0.250 0.250 0.250
Pa1 Pa 0.000 0.000 0.500



y:
# CePu2Pa (PBE, optimized geometry)
# size of the total moment	0.17	μB per formula unit
# N(E_F)	2.4991	states/eV per atom
data_CePu2Pa
_chemical_formula_sum 'Ce3 Pu6 Pa3'
_cell_length_a 3.9545
_cell_length_b 3.9545
_cell_length_c 22.7177
_cell_angle_alpha 90.00
_cell_angle_beta 90.00
_cell_angle_gamma 120.00
_space_group_name_H-M_alt 'R 3 m'
_space_group_IT_number 160
_space_group_name_Hall 'R 3 -2"'
loop_
_atom_site_label
_atom_site_type_symbol
_atom_site_fract_x
_atom_site_fract_y
_atom_site_fract_z
Ce1 Ce 0.0000 0.0000 0.0000
Pu1 Pu 0.0000 0.0000 0.3928
Pu2 Pu 0.0000 0.0000 0.5584
Pa1 Pa 0.0000 0.0000 0.8295



z:
# CePu2Pa (PBE, optimized geometry)
# size of the total moment	10.63	μB per formula unit
# N(E_F)	3.4227	states/eV per atom
data_CePu2Pa
_chemical_formula_sum 'Ce1 Pu2 Pa1'
_cell_length_a 5.486
_cell_length_b 5.486
_cell_length_c 3.181
_cell_angle_alpha 90.00
_cell_angle_beta 90.00
_cell_angle_gamma 90.00
_space_group_name_H-M_alt 'P 4/m m m'
_space_group_IT_number 123
_space_group_name_Hall '-P 4 2'
loop_
_atom_site_label
_atom_site_type_symbol
_atom_site_fract_x
_atom_site_fract_y
_atom_site_fract_z
Ce1 Ce 0.000 0.000 0.000
Pu1 Pu 0.000 0.500 0.500
Pa1 Pa 0.500 0.500 0.000



Most stable: w